## ErZrBe (GGA-PBE)

Data for a relaxed structure of ErZrBe.

abc: 4.652 4.652 4.652
angles: 60.00 60.00 60.00
Positions (direct):
Er  0.000  0.000  0.000
Zr  0.750  0.750  0.750
Be  0.250  0.250  0.250

Output
E (eV/cell): -13.08